TaCrCo2 | Alexandria via LeMat-Bulk | GGA-PBEsol | optimized geometry; volume = 12.1 Å³/atom; ΔE to the lowest computed polymorph = 0 meV per atom; size of the total moment = 0.00 μB per cell; energy of formation = 0.01 eV/atom
1.0
2.629 0.000 0.000
0.000 2.629 0.000
0.000 0.000 6.975
Ta Cr Co
1 1 2
Cartesian
0.000 0.000 0.000
0.000 0.000 3.488
1.315 1.315 1.927
1.315 1.315 5.048